[1]
12
Lattice="8.4079 -3.3758 0.0000 8.4079 3.3758 0.0000 -2.2351 0.0000 7.0333" Properties=species:S:1:pos:R:3 comment="RbPdBr4, relaxed, DFT GGA-PBE" raw_formation_energy_ev_per_atom=-0.735 sg="C2/c, No. 15" pbc="T T T"
Rb 6.7315 1.7720 5.2750
Rb 7.8491 -1.7720 1.7583
Pd 4.2039 1.6879 0.0000
Pd 3.0864 -1.6879 3.5166
Br 3.3856 0.5625 2.2091
Br 6.5813 1.5791 0.8090
Br 2.2680 -0.5625 5.7257
Br 9.1169 1.5791 2.7076
Br 5.4637 -1.5791 4.3257
Br 12.3126 0.5625 1.3076
Br 7.9993 -1.5791 6.2243
Br 11.1950 -0.5625 4.8242

---

[2]
14
Lattice="7.4465 0.0000 0.0000 -3.7232 6.4488 0.0000 0.0000 0.0000 9.2708" Properties=species:S:1:pos:R:3 comment="Rb3Pd2Br9, relaxed, DFT GGA-PBE" raw_formation_energy_ev_per_atom=-0.898 sg="P-3m1, No. 164" pbc="T T T"
Rb 0.0000 0.0000 0.0000
Rb 0.0000 4.2992 3.1841
Rb 3.7232 2.1496 6.0867
Pd 0.0000 4.2992 7.7185
Pd 3.7232 2.1496 1.5523
Br -1.8616 3.2244 0.0000
Br 0.0000 2.2076 6.2951
Br -1.8114 5.3450 6.2951
Br 1.9118 1.1038 2.9757
Br 3.7232 0.0000 0.0000
Br 1.8616 3.2244 0.0000
Br 1.8114 5.3450 6.2951
Br 5.5346 1.1038 2.9757
Br 3.7232 4.2412 2.9757

---

[3]
13
Lattice="3.5505 2.0499 10.5619 -3.5505 2.0499 10.5619 0.0000 -4.0997 10.5619" Properties=species:S:1:pos:R:3 comment="Rb3Pd2Br8, relaxed, DFT GGA-PBE" raw_formation_energy_ev_per_atom=-0.797 sg="R-3m, No. 166" pbc="T T T"
Rb 0.0000 0.0000 0.0000
Rb 0.0000 0.0000 6.6228
Rb 0.0000 0.0000 25.0630
Pd 0.0000 0.0000 12.5794
Pd 0.0000 0.0000 19.1065
Br -1.8642 -1.0763 17.8605
Br 0.0000 -2.1526 13.8253
Br -1.8642 1.0763 13.8253
Br 0.0000 0.0000 10.0527
Br 0.0000 0.0000 21.6331
Br 1.8642 -1.0763 17.8605
Br 0.0000 2.1526 17.8605
Br 1.8642 1.0763 13.8253

---

[4]
11
Lattice="-2.5263 2.5263 14.7548 2.5263 -2.5263 14.7548 2.5263 2.5263 -14.7548" Properties=species:S:1:pos:R:3 comment="Rb3Pd2Br6, relaxed, DFT GGA-PBE" raw_formation_energy_ev_per_atom=-1.006 sg="I4/mmm, No. 139" pbc="T T T"
Rb 0.0000 0.0000 0.0000
Rb 0.0000 0.0000 5.4097
Rb 0.0000 0.0000 24.0999
Pd 0.0000 0.0000 11.7397
Pd 0.0000 0.0000 17.7700
Br 2.5263 0.0000 2.4382
Br 0.0000 0.0000 8.9102
Br 2.5263 0.0000 12.3166
Br 0.0000 2.5263 2.4382
Br 0.0000 0.0000 20.5994
Br 0.0000 2.5263 12.3166

---

[5]
12
Lattice="-4.3433 4.3433 5.7814 4.3433 -4.3433 5.7814 4.3433 4.3433 -5.7814" Properties=species:S:1:pos:R:3 comment="Rb3PdBr8, relaxed, DFT GGA-PBE" raw_formation_energy_ev_per_atom=-0.739 sg="I4/mmm, No. 139" pbc="T T T"
Rb 0.0000 0.0000 0.0000
Rb 4.3433 0.0000 2.8907
Rb 0.0000 4.3433 2.8907
Pd 0.0000 0.0000 5.7814
Br 2.4940 2.4940 -1.4924
Br 1.8493 -1.8493 4.2890
Br 2.4940 2.4940 1.4924
Br 1.8493 -1.8493 7.2737
Br -1.8493 1.8493 4.2890
Br 1.8493 1.8493 4.2890
Br -1.8493 1.8493 7.2737
Br 1.8493 1.8493 7.2737

---

[6]
80
Lattice="-10.1636 10.1636 10.1636 10.1636 -10.1636 10.1636 10.1636 10.1636 -10.1636" Properties=species:S:1:pos:R:3 comment="Rb12Pd3Br5, relaxed, DFT GGA-PBE" raw_formation_energy_ev_per_atom=-0.738 sg="Ia-3d, No. 230" pbc="T T T"
Rb 3.1496 -0.3232 1.4329
Rb 12.0958 6.5146 -5.4050
Rb 9.8404 -1.4329 3.1496
Rb 15.5685 -1.9322 3.6489
Rb 13.3131 0.3232 1.4329
Rb 12.0958 -3.6489 5.4050
Rb 1.4329 3.1496 -0.3232
Rb 13.8125 4.7586 -1.9322
Rb 6.5146 5.4050 -1.9322
Rb 8.7307 3.1496 0.3232
Rb -0.3232 1.4329 3.1496
Rb 5.4050 -1.9322 6.5146
Rb 9.8404 8.7307 -3.1496
Rb 5.4050 1.9322 3.6489
Rb 8.7307 -3.1496 9.8404
Rb 6.5146 -5.4050 12.0958
Rb 3.6489 5.4050 1.9322
Rb 11.5964 7.0140 0.3232
Rb 3.1496 9.8404 -1.4329
Rb 12.0958 3.6489 4.7586
Rb 5.4050 12.0958 -3.6489
Rb 9.8404 1.4329 7.0140
Rb 1.9322 3.6489 5.4050
Rb 3.1496 0.3232 8.7307
Rb 7.0140 9.8404 1.4329
Rb 8.2314 6.5146 4.7586
Rb 0.3232 8.7307 3.1496
Rb 4.7586 -1.9322 13.8125
Rb -1.9322 6.5146 5.4050
Rb 7.0140 0.3232 11.5964
Rb -1.4329 3.1496 9.8404
Rb 6.5146 4.7586 8.2314
Rb 3.6489 15.5685 -1.9322
Rb 1.4329 13.3131 0.3232
Rb 4.7586 8.2314 6.5146
Rb 0.3232 1.4329 13.3131
Rb 4.7586 12.0958 3.6489
Rb 10.4868 8.7307 7.0140
Rb 1.4329 7.0140 9.8404
Rb 3.6489 4.7586 12.0958
Rb -3.6489 5.4050 12.0958
Rb 8.7307 7.0140 10.4868
Rb -1.9322 13.8125 4.7586
Rb -3.1496 9.8404 8.7307
Rb -5.4050 12.0958 6.5146
Rb 0.3232 11.5964 7.0140
Rb -1.9322 3.6489 15.5685
Rb 7.0140 10.4868 8.7307
Pd 5.0818 2.5409 0.0000
Pd 10.1636 5.0818 -2.5409
Pd 2.5409 0.0000 5.0818
Pd 12.7045 0.0000 5.0818
Pd 0.0000 5.0818 2.5409
Pd 5.0818 -2.5409 10.1636
Pd 5.0818 12.7045 0.0000
Pd 10.1636 5.0818 7.6227
Pd -2.5409 10.1636 5.0818
Pd 7.6227 10.1636 5.0818
Pd 0.0000 5.0818 12.7045
Pd 5.0818 7.6227 10.1636
Br 0.0000 0.0000 0.0000
Br 5.0818 5.0818 -5.0818
Br 5.0818 -5.0818 5.0818
Br 10.1636 0.0000 0.0000
Br 15.2453 2.5409 0.0000
Br 10.1636 -5.0818 7.6227
Br 7.6227 10.1636 -5.0818
Br 7.6227 0.0000 5.0818
Br 5.0818 7.6227 0.0000
Br 10.1636 5.0818 2.5409
Br -5.0818 5.0818 5.0818
Br 0.0000 10.1636 0.0000
Br 0.0000 0.0000 10.1636
Br 5.0818 5.0818 5.0818
Br 0.0000 5.0818 7.6227
Br 5.0818 2.5409 10.1636
Br 2.5409 10.1636 5.0818
Br 2.5409 0.0000 15.2453
Br 0.0000 15.2453 2.5409
Br -5.0818 7.6227 10.1636

---

[7]
16
Lattice="5.5383 0.0000 0.0000 0.0000 5.5383 0.0000 0.0000 0.0000 16.5493" Properties=species:S:1:pos:R:3 comment="RbPd2Br, relaxed, DFT GGA-PBE" de_polymorph_ev_per_atom=0.000 raw_formation_energy_ev_per_atom=-0.169 sg="I4_1/amd, No. 141" pbc="T T T"
Rb 0.0000 1.3846 6.2060
Rb 0.0000 4.1537 10.3433
Rb 2.7691 1.3846 2.0687
Rb 2.7691 4.1537 14.4807
Pd 0.0000 0.0000 0.0000
Pd 0.0000 2.7691 0.0000
Pd 1.3846 1.3846 12.4120
Pd 1.3846 4.1537 4.1373
Pd 2.7691 0.0000 8.2747
Pd 2.7691 2.7691 8.2747
Pd 4.1537 1.3846 12.4120
Pd 4.1537 4.1537 4.1373
Br 0.0000 1.3846 14.4807
Br 0.0000 4.1537 2.0687
Br 2.7691 1.3846 10.3433
Br 2.7691 4.1537 6.2060

---

[8]
17
Lattice="-4.9383 4.9383 4.9383 4.9383 -4.9383 4.9383 4.9383 4.9383 -4.9383" Properties=species:S:1:pos:R:3 comment="RbPd4Br12, relaxed, DFT GGA-PBE" raw_formation_energy_ev_per_atom=-0.375 sg="Im-3, No. 204" pbc="T T T"
Rb 0.0000 0.0000 0.0000
Pd 2.4692 2.4692 -2.4692
Pd 2.4692 -2.4692 2.4692
Pd -2.4692 2.4692 2.4692
Pd 2.4692 2.4692 2.4692
Br 4.9383 -1.9182 3.0644
Br 3.0201 1.8739 0.0000
Br 6.8565 1.8739 0.0000
Br 3.0644 4.9383 -1.9182
Br 1.8739 0.0000 3.0201
Br 0.0000 3.0201 1.8739
Br 4.9383 1.9182 3.0644
Br 3.0644 4.9383 1.9182
Br 1.8739 0.0000 6.8565
Br -1.9182 3.0644 4.9383
Br 1.9182 3.0644 4.9383
Br 0.0000 6.8565 1.8739

---

[9]
16
Lattice="13.7703 0.0000 0.0000 0.0000 10.2689 0.0000 0.0000 0.0000 5.2383" Properties=species:S:1:pos:R:3 comment="Rb3PdBr4, relaxed, DFT GGA-PBE" raw_formation_energy_ev_per_atom=-1.230 sg="Pmn2_1, No. 31" pbc="T T T"
Rb 0.0000 0.9448 0.0000
Rb 2.2639 6.6362 2.6404
Rb 4.6212 3.6327 0.0212
Rb 6.8851 9.3241 2.6191
Rb 9.1491 3.6327 0.0212
Rb 11.5063 6.6362 2.6404
Pd 0.0000 3.7483 2.6388
Pd 6.8851 6.5205 0.0197
Br 0.0000 4.2860 0.0208
Br 0.0000 9.0817 2.6189
Br 2.4925 3.2047 2.6403
Br 4.3926 7.0642 0.0212
Br 6.8851 1.1872 5.2381
Br 6.8851 5.9829 2.6400
Br 9.3777 7.0642 0.0212
Br 11.2778 3.2047 2.6403

---

[10]
16
Lattice="8.2988 0.0000 0.0000 0.0000 8.2988 0.0000 0.0000 0.0000 8.2988" Properties=species:S:1:pos:R:3 comment="Rb2PdBr, relaxed, DFT GGA-PBE" de_polymorph_ev_per_atom=0.000 raw_formation_energy_ev_per_atom=-0.445 sg="Fm-3m, No. 225" pbc="T T T"
Rb 2.0747 2.0747 2.0747
Rb 2.0747 2.0747 6.2241
Rb 2.0747 6.2241 2.0747
Rb 2.0747 6.2241 6.2241
Rb 6.2241 2.0747 2.0747
Rb 6.2241 2.0747 6.2241
Rb 6.2241 6.2241 2.0747
Rb 6.2241 6.2241 6.2241
Pd 0.0000 0.0000 0.0000
Pd 0.0000 4.1494 4.1494
Pd 4.1494 0.0000 4.1494
Pd 4.1494 4.1494 0.0000
Br 0.0000 0.0000 4.1494
Br 0.0000 4.1494 0.0000
Br 4.1494 0.0000 0.0000
Br 4.1494 4.1494 4.1494

---

[11]
10
Lattice="-4.0440 4.0440 5.9830 4.0440 -4.0440 5.9830 4.0440 4.0440 -5.9830" Properties=species:S:1:pos:R:3 comment="Rb3PdBr6, relaxed, DFT GGA-PBE" de_polymorph_ev_per_atom=0.037 raw_formation_energy_ev_per_atom=-1.083 sg="I4/mmm, No. 139" pbc="T T T"
Rb 0.0000 0.0000 0.0000
Rb 4.0440 0.0000 2.9915
Rb 0.0000 4.0440 2.9915
Pd 0.0000 0.0000 5.9830
Br 0.0000 0.0000 3.2358
Br 2.2751 2.2751 0.0000
Br 1.7690 -1.7690 5.9830
Br -1.7690 1.7690 5.9830
Br 1.7690 1.7690 5.9830
Br 0.0000 0.0000 8.7302

---

[12]
80
Lattice="-8.6506 8.6506 8.6506 8.6506 -8.6506 8.6506 8.6506 8.6506 -8.6506" Properties=species:S:1:pos:R:3 comment="Rb3Pd5Br12, relaxed, DFT GGA-PBE" raw_formation_energy_ev_per_atom=-0.616 sg="Ia-3d, No. 230" pbc="T T T"
Rb 4.3253 2.1627 0.0000
Rb 8.6506 4.3253 -2.1627
Rb 2.1627 0.0000 4.3253
Rb 10.8133 0.0000 4.3253
Rb 0.0000 4.3253 2.1627
Rb 4.3253 -2.1627 8.6506
Rb 4.3253 10.8133 0.0000
Rb 8.6506 4.3253 6.4880
Rb -2.1627 8.6506 4.3253
Rb 6.4880 8.6506 4.3253
Rb 0.0000 4.3253 10.8133
Rb 4.3253 6.4880 8.6506
Pd 0.0000 0.0000 0.0000
Pd 4.3253 4.3253 -4.3253
Pd 4.3253 -4.3253 4.3253
Pd 8.6506 0.0000 0.0000
Pd 12.9759 2.1627 0.0000
Pd 8.6506 -4.3253 6.4880
Pd 6.4880 8.6506 -4.3253
Pd 6.4880 0.0000 4.3253
Pd 4.3253 6.4880 0.0000
Pd 8.6506 4.3253 2.1627
Pd -4.3253 4.3253 4.3253
Pd 0.0000 8.6506 0.0000
Pd 0.0000 0.0000 8.6506
Pd 4.3253 4.3253 4.3253
Pd 0.0000 4.3253 6.4880
Pd 4.3253 2.1627 8.6506
Pd 2.1627 8.6506 4.3253
Pd 2.1627 0.0000 12.9759
Pd 0.0000 12.9759 2.1627
Pd -4.3253 6.4880 8.6506
Br 2.4273 -0.6128 0.7538
Br 10.5486 5.0791 -4.9381
Br 11.0779 0.6128 0.7538
Br 10.5486 -3.5715 4.9381
Br 8.0378 -0.7538 2.4273
Br 13.5887 -1.8980 3.5715
Br 0.7538 2.4273 -0.6128
Br 12.2221 3.7125 -1.8980
Br 5.0791 4.9381 -1.8980
Br 7.8968 2.4273 0.6128
Br -0.6128 0.7538 2.4273
Br 4.9381 -1.8980 5.0791
Br 8.0378 7.8968 -2.4273
Br 4.9381 1.8980 3.5715
Br 5.0791 -4.9381 10.5486
Br 7.8968 -2.4273 8.0378
Br 3.5715 4.9381 1.8980
Br 9.4044 6.2233 0.6128
Br 4.9381 10.5486 -3.5715
Br 8.0378 0.7538 6.2233
Br 2.4273 8.0378 -0.7538
Br 10.5486 3.5715 3.7125
Br 1.8980 3.5715 4.9381
Br 2.4273 0.6128 7.8968
Br 6.2233 8.0378 0.7538
Br 6.7526 5.0791 3.7125
Br -1.8980 5.0791 4.9381
Br 6.2233 0.6128 9.4044
Br 0.6128 7.8968 2.4273
Br 3.7125 -1.8980 12.2221
Br -0.7538 2.4273 8.0378
Br 5.0791 3.7125 6.7526
Br 0.7538 11.0779 0.6128
Br 3.5715 13.5887 -1.8980
Br 3.7125 6.7526 5.0791
Br 0.6128 0.7538 11.0779
Br 3.7125 10.5486 3.5715
Br 9.2634 7.8968 6.2233
Br 0.7538 6.2233 8.0378
Br 3.5715 3.7125 10.5486
Br -3.5715 4.9381 10.5486
Br 7.8968 6.2233 9.2634
Br -4.9381 10.5486 5.0791
Br 0.6128 9.4044 6.2233
Br -1.8980 12.2221 3.7125
Br -2.4273 8.0378 7.8968
Br -1.8980 3.5715 13.5887
Br 6.2233 9.2634 7.8968

---

Number 1: total energy -2.877 eV per atom. Number 2: total energy -2.923 eV per atom. Number 3: total energy -2.849 eV per atom. Number 4: total energy -3.126 eV per atom. Number 5: total energy -2.529 eV per atom. Number 6: total energy -2.516 eV per atom. Number 7: total energy -3.426 eV per atom. Number 8: total energy -2.834 eV per atom. Number 9: total energy -3.078 eV per atom. Number 10: total energy -2.645 eV per atom. Number 11: total energy -2.897 eV per atom. Number 12: total energy -3.063 eV per atom.